Li2ZrPb | meta-GGA SCAN | PBEsol geometry

abc: 4.1642 4.1642 4.6478
angles: 90.00 90.00 90.00
Closest atoms and distances in Å follow each position.
Space group P4/mmm (No. 123)
Inequivalent atoms, fractional coordinates:
Li 0.0000 0.5000 0.0000  4 Li 2.94, 4 Zr 3.12, 4 Pb 3.12
Zr 0.0000 0.0000 0.5000  4 Pb 2.94, 8 Li 3.12
Pb 0.5000 0.5000 0.5000  4 Zr 2.94, 8 Li 3.12

Calculated formation energy (eV/f.u.): -1.06
Magnetic moment (μB per formula unit): 0.00